The following is a PBE-GGA calculation of a relaxed ThAl3Pd4 crystal, from the Alexandria database.

Output
Total energy = -46.3 eV/cell
Energy of formation = -0.857 eV per atom
DOS at the Fermi energy = 4.7 states/eV per cell
Size of the total moment = 0.00 μB/f.u.

```
data_ThAl3Pd4
_space_group_name_H-M_alt 'P 1'
_space_group_IT_number 1
_cell_length_a 9.047
_cell_length_b 9.047
_cell_length_c 9.047
_cell_angle_alpha 27.63
_cell_angle_beta 27.63
_cell_angle_gamma 27.63
loop_
_space_group_symop_operation_xyz
'x,y,z'
loop_
_atom_site_label
_atom_site_type_symbol
_atom_site_fract_x
_atom_site_fract_y
_atom_site_fract_z
_atom_site_occupancy
Th1 Th 0.000 0.000 0.000 1
Al1 Al 0.238 0.238 0.238 1
Al2 Al 0.500 0.500 0.500 1
Al3 Al 0.762 0.762 0.762 1
Pd1 Pd 0.134 0.134 0.134 1
Pd2 Pd 0.402 0.402 0.402 1
Pd3 Pd 0.598 0.598 0.598 1
Pd4 Pd 0.866 0.866 0.866 1
```